[1]
! Sr7CaTl4 | the Alexandria database | PBE | relaxed; values from VASP
&SYSTEM
  ibrav = 0, nat = 12, ntyp = 3
/
ATOMIC_SPECIES
Sr 87.62 Sr.upf
Ca 40.08 Ca.upf
Tl 204.38 Tl.upf
ATOMIC_POSITIONS angstrom
Sr 0.000 0.000 0.000
Sr -1.504 0.000 6.041
Sr 3.612 0.000 1.170
Sr 2.389 0.000 6.171
Sr 6.511 0.000 3.588
Sr 5.287 0.000 8.589
Sr 10.404 0.000 3.719
Ca 7.919 0.000 0.000
Tl -4.466 0.000 7.552
Tl 0.675 0.000 3.233
Tl 8.225 0.000 6.526
Tl 13.365 0.000 2.207
CELL_PARAMETERS angstrom
7.919 -3.129 0.000
7.919 3.129 0.000
-6.938 0.000 9.759
! symmetry	C2/m (12)
! magnetic moment	0.0	μB per formula unit
! E_form	-0.161	eV/atom

[2]
! AlSiTe3 | the Alexandria database | PBE | relaxed; values from VASP
&SYSTEM
  ibrav = 0, nat = 10, ntyp = 3
/
ATOMIC_SPECIES
Al 26.98 Al.upf
Si 28.09 Si.upf
Te 127.60 Te.upf
ATOMIC_POSITIONS angstrom
Al 0.000 3.988 0.000
Al 3.454 1.994 0.000
Si 0.000 0.000 1.148
Si 0.000 0.000 6.623
Te -1.228 2.127 1.785
Te -2.226 3.855 5.986
Te 2.456 0.000 1.785
Te 1.228 2.127 5.986
Te 4.451 0.000 5.986
Te 2.226 3.855 1.785
CELL_PARAMETERS angstrom
6.908 0.000 0.000
-3.454 5.982 0.000
0.000 0.000 7.772
! symmetry	P-31m (162)
! magnetic moment	0.0	μB per formula unit
! energy relative to the elements, uncorrected	-0.27	eV/atom
! energy above the most stable polymorph in this dataset	0.0	meV per atom

[3]
! RbGa3As3 | the Alexandria database | PBE | relaxed; values from VASP
&SYSTEM
  ibrav = 0, nat = 14, ntyp = 3
/
ATOMIC_SPECIES
Rb 85.47 Rb.upf
Ga 69.72 Ga.upf
As 74.92 As.upf
ATOMIC_POSITIONS angstrom
Rb 0.000 0.000 0.000
Rb 3.603 3.603 3.603
Ga 0.000 1.801 3.603
Ga 0.000 5.404 3.603
Ga 1.801 3.603 0.000
Ga 3.603 0.000 1.801
Ga 3.603 0.000 5.404
Ga 5.404 3.603 0.000
As 0.000 3.603 1.801
As 0.000 3.603 5.404
As 1.801 0.000 3.603
As 3.603 1.801 0.000
As 3.603 5.404 0.000
As 5.404 0.000 3.603
CELL_PARAMETERS angstrom
7.206 0.000 0.000
0.000 7.206 0.000
0.000 0.000 7.206
! symmetry	Pm-3n (223)
! magnetic moment	0.0	μB per formula unit
! E_form	-0.308	eV/atom
! energy above the most stable polymorph in this dataset	0.0	meV per atom